First-principles (PBE-GGA) data for a relaxed structure of LiDy2Al3Au4, as listed in the Alexandria database.

It has space group P-4m2 (No. 115), with a = 4.344 Å, b = 4.344 Å, c = 10.512 Å, α = 90.00°, β = 90.00° and γ = 90.00°. Symmetry generates all atoms from Li at (0.000, 0.000, 0.000), Dy at (0.000, 0.500, 0.743), Al at (0.000, 0.500, 0.367), Al at (0.500, 0.500, 0.000), Au at (0.000, 0.000, 0.500), Au at (0.000, 0.500, 0.132) and Au at (0.500, 0.500, 0.500).



First-principles (PBE-GGA) data for a relaxed structure of Th2TiRu, as listed in the Alexandria database.

It has space group R-3m (No. 166, hexagonal axes), with a = 3.3572 Å, b = 3.3572 Å, c = 30.4217 Å, α = 90.00°, β = 90.00° and γ = 120.00°. Symmetry generates all atoms from Th at (0.0000, 0.0000, 0.0948), Ti at (0.0000, 0.0000, 0.0000) and Ru at (0.0000, 0.0000, 0.5000).



First-principles (PBE-GGA) data for a relaxed structure of Gd3TlIr, as listed in the Alexandria database.

It has space group Pm-3m (No. 221), with a = 5.415 Å, b = 5.415 Å, c = 5.415 Å, α = 90.00°, β = 90.00° and γ = 90.00°. Symmetry generates all atoms from Gd at (0.000, 0.000, 0.500), Tl at (0.500, 0.500, 0.500) and Ir at (0.000, 0.000, 0.000).



First-principles (PBE-GGA) data for a relaxed structure of ScTaN2F, as listed in the Alexandria database.

It has space group P4/mmm (No. 123), with a = 4.093 Å, b = 4.093 Å, c = 3.934 Å, α = 90.00°, β = 90.00° and γ = 90.00°. Symmetry generates all atoms from Sc at (0.000, 0.000, 0.000), Ta at (0.500, 0.500, 0.500), N at (0.000, 0.500, 0.500) and F at (0.500, 0.500, 0.000).

The energy relative to the elements, uncorrected comes out at -1.115 eV per atom.



Final energy: -4.20; -7.57; -11.06; -8.46 (eV per atom)